Entry 1:
Material: InCuBr2
Method: DFT, SCAN
State: single point on PBEsol structure

Cell lengths 5.7309, 5.7309, 5.7309 Å; angles 143.05, 117.15, 75.19 degrees
With the nearest neighbours (Å) after each atom.
Atoms (fractional coordinates):
In (0.0000, 0.0000, 0.0000)  8 Br 3.39-3.43, 4 Cu 3.50, 2 In 3.63
Cu (0.5000, 0.5000, 0.0000)  4 Br 2.47
Br (0.3152, 0.8152, 0.5000)  2 Cu 2.47
Br (0.6848, 0.1848, 0.5000)  2 Cu 2.47

**Energy relative to the lowest polymorph listed for this composition**: 0 meV per atom
**SG**: Immm, No. 71
**Crystal system**: orthorhombic

Entry 2:
Material: RbIn2CuBr
Method: DFT, SCAN
State: single point on PBEsol structure

Cell lengths 6.1369, 6.1369, 4.7139 Å; angles 90.00, 90.00, 90.00 degrees
With the nearest neighbours (Å) after each atom.
Atoms (fractional coordinates):
Rb (0.0000, 0.0000, 0.0000)  8 In 3.87
In (0.0000, 0.5000, 0.5000)  2 Br 3.07
In (0.5000, 0.0000, 0.5000)  2 Br 3.07
Cu (0.5000, 0.5000, 0.0000)  2 Br 2.36
Br (0.5000, 0.5000, 0.5000)  2 Cu 2.36

**Uncorrected energy**: -24.114 eV/atom
**SG**: P4/mmm, No. 123
**Crystal system**: tetragonal